(1)
Li3CaCd: relaxed, GGA-PBEsol.

Geometry as CIF:
```
data_Li3CaCd
_space_group_name_H-M_alt 'P m -3 m'
_space_group_IT_number 221
_space_group_name_Hall '-P 4 2 3'
_cell_length_a 5.055
_cell_length_b 5.055
_cell_length_c 5.055
_cell_angle_alpha 90.00
_cell_angle_beta 90.00
_cell_angle_gamma 90.00
loop_
_atom_site_label
_atom_site_type_symbol
_atom_site_fract_x
_atom_site_fract_y
_atom_site_fract_z
Li1 Li 0.000 0.000 0.500
Ca1 Ca 0.500 0.500 0.500
Cd1 Cd 0.000 0.000 0.000
```

DFT total energy: -1.801 eV per atom
Energy of formation from the pure elements: 45 meV per atom
N(E_F): 3.56 states/eV/cell

(2)
La2RuCl: relaxed, GGA-PBEsol.

Geometry as CIF:
```
data_La2RuCl
_space_group_name_H-M_alt 'R -3 m'
_space_group_IT_number 166
_space_group_name_Hall '-R 3 2"'
_cell_length_a 4.0646
_cell_length_b 4.0646
_cell_length_c 22.3472
_cell_angle_alpha 90.00
_cell_angle_beta 90.00
_cell_angle_gamma 120.00
loop_
_atom_site_label
_atom_site_type_symbol
_atom_site_fract_x
_atom_site_fract_y
_atom_site_fract_z
La1 La 0.0000 0.0000 0.2356
Ru1 Ru 0.0000 0.0000 0.5000
Cl1 Cl 0.0000 0.0000 0.0000
```

DFT total energy: -6.660 eV per atom
N(E_F): 6.12 states/eV/cell
ΔE_f (raw): -0.941 eV/atom

(3)
Na2Sb2Ir: relaxed, GGA-PBEsol.

Geometry as CIF:
```
data_Na2Sb2Ir
_space_group_name_H-M_alt 'P 4/m b m'
_space_group_IT_number 127
_space_group_name_Hall '-P 4 2ab'
_cell_length_a 6.757
_cell_length_b 6.757
_cell_length_c 5.185
_cell_angle_alpha 90.00
_cell_angle_beta 90.00
_cell_angle_gamma 90.00
loop_
_atom_site_label
_atom_site_type_symbol
_atom_site_fract_x
_atom_site_fract_y
_atom_site_fract_z
Na1 Na 0.177 0.323 0.000
Sb1 Sb 0.147 0.647 0.500
Ir1 Ir 0.000 0.000 0.500
```

DFT total energy: -4.614 eV per atom
N(E_F): 2.74 states/eV/cell
ΔE_f (raw): -0.267 eV/atom

(4)
CaYGe3: relaxed, GGA-PBEsol.

Geometry as CIF:
```
data_CaYGe3
_space_group_name_H-M_alt 'P m -3 m'
_space_group_IT_number 221
_space_group_name_Hall '-P 4 2 3'
_cell_length_a 5.259
_cell_length_b 5.259
_cell_length_c 5.259
_cell_angle_alpha 90.00
_cell_angle_beta 90.00
_cell_angle_gamma 90.00
loop_
_atom_site_label
_atom_site_type_symbol
_atom_site_fract_x
_atom_site_fract_y
_atom_site_fract_z
Ca1 Ca 0.000 0.000 0.000
Y1 Y 0.500 0.500 0.500
Ge1 Ge 0.000 0.500 0.500
```

DFT total energy: -4.594 eV per atom
Energy of formation from the pure elements: 160 meV per atom
N(E_F): 3.51 states/eV/cell

(5)
Ba2CrRe: relaxed, GGA-PBEsol.

Geometry as CIF:
```
data_Ba2CrRe
_space_group_name_H-M_alt 'I m m 2'
_space_group_IT_number 44
_space_group_name_Hall 'I 2 -2'
_cell_length_a 3.725
_cell_length_b 5.429
_cell_length_c 11.418
_cell_angle_alpha 90.00
_cell_angle_beta 90.00
_cell_angle_gamma 90.00
loop_
_atom_site_label
_atom_site_type_symbol
_atom_site_fract_x
_atom_site_fract_y
_atom_site_fract_z
Ba1 Ba 0.000 0.000 0.000
Ba2 Ba 0.000 0.500 0.210
Cr1 Cr 0.000 0.500 0.807
Re1 Re 0.000 0.000 0.421
```

DFT total energy: -6.118 eV per atom
Energy of formation from the pure elements: 850 meV per atom
N(E_F): 8.57 states/eV/cell

(6)
KCuW2: relaxed, GGA-PBEsol.

Geometry as CIF:
```
data_KCuW2
_space_group_name_H-M_alt 'C 1 2/m 1'
_space_group_IT_number 12
_space_group_name_Hall '-C 2y'
_cell_length_a 5.412
_cell_length_b 10.915
_cell_length_c 2.611
_cell_angle_alpha 90.00
_cell_angle_beta 112.25
_cell_angle_gamma 90.00
loop_
_atom_site_label
_atom_site_type_symbol
_atom_site_fract_x
_atom_site_fract_y
_atom_site_fract_z
K1 K 0.000 0.000 0.000
Cu1 Cu 0.000 0.500 0.000
W1 W 0.250 0.250 0.500
```

DFT total energy: -6.874 eV per atom
Energy of formation from the pure elements: 1397 meV per atom
N(E_F): 6.85 states/eV/cell